1.
# GGA-PBE Sm2Ge4Rh3, relaxed
data_Sm2Ge4Rh3
_cell_length_a 5.624
_cell_length_b 5.624
_cell_length_c 6.799
_cell_angle_alpha 101.79
_cell_angle_beta 101.79
_cell_angle_gamma 120.39
_space_group_name_H-M_alt 'P 1'
_space_group_IT_number 1
loop_
_space_group_symop_operation_xyz
'x,y,z'
loop_
_atom_site_label
_atom_site_type_symbol
_atom_site_fract_x
_atom_site_fract_y
_atom_site_fract_z
Sm1 Sm 0.633 0.633 0.266
Sm2 Sm 0.367 0.367 0.734
Ge1 Ge 0.012 0.672 0.684
Ge2 Ge 0.672 0.012 0.684
Ge3 Ge 0.988 0.328 0.316
Ge4 Ge 0.328 0.988 0.316
Rh1 Rh 0.500 0.000 0.000
Rh2 Rh 0.000 0.000 0.000
Rh3 Rh 0.000 0.500 0.000
# Energy of formation in eV per atom: -0.7180


2.
# GGA-PBE Sm2Ge2Rh5, relaxed
data_Sm2Ge2Rh5
_cell_length_a 4.211
_cell_length_b 4.211
_cell_length_c 9.034
_cell_angle_alpha 90.00
_cell_angle_beta 90.00
_cell_angle_gamma 90.00
_space_group_name_H-M_alt 'P 1'
_space_group_IT_number 1
loop_
_space_group_symop_operation_xyz
'x,y,z'
loop_
_atom_site_label
_atom_site_type_symbol
_atom_site_fract_x
_atom_site_fract_y
_atom_site_fract_z
Sm1 Sm 0.000 0.000 0.000
Sm2 Sm 0.000 0.000 0.500
Ge1 Ge 0.500 0.500 0.142
Ge2 Ge 0.500 0.500 0.858
Rh1 Rh 0.500 0.000 0.271
Rh2 Rh 0.500 0.000 0.729
Rh3 Rh 0.500 0.500 0.500
Rh4 Rh 0.000 0.500 0.271
Rh5 Rh 0.000 0.500 0.729
# Energy of formation in eV per atom: -0.7120


3.
# GGA-PBE Sm2GeRh, relaxed
data_Sm2GeRh
_cell_length_a 3.974
_cell_length_b 3.974
_cell_length_c 7.788
_cell_angle_alpha 75.22
_cell_angle_beta 75.22
_cell_angle_gamma 60.00
_space_group_name_H-M_alt 'P 1'
_space_group_IT_number 1
loop_
_space_group_symop_operation_xyz
'x,y,z'
loop_
_atom_site_label
_atom_site_type_symbol
_atom_site_fract_x
_atom_site_fract_y
_atom_site_fract_z
Ge1 Ge 0.500 0.500 0.500
Rh1 Rh 0.000 0.000 0.000
Sm1 Sm 0.257 0.257 0.230
Sm2 Sm 0.743 0.743 0.770
# Energy of formation in eV per atom: -0.5451


4.
# GGA-PBE Sm3Ge2Rh, relaxed
data_Sm3Ge2Rh
_cell_length_a 4.293
_cell_length_b 11.456
_cell_length_c 11.951
_cell_angle_alpha 90.00
_cell_angle_beta 90.00
_cell_angle_gamma 90.00
_space_group_name_H-M_alt 'P 1'
_space_group_IT_number 1
loop_
_space_group_symop_operation_xyz
'x,y,z'
loop_
_atom_site_label
_atom_site_type_symbol
_atom_site_fract_x
_atom_site_fract_y
_atom_site_fract_z
Sm1 Sm 0.250 0.371 0.053
Sm2 Sm 0.750 0.629 0.947
Sm3 Sm 0.750 0.871 0.447
Sm4 Sm 0.250 0.129 0.553
Sm5 Sm 0.250 0.700 0.224
Sm6 Sm 0.750 0.300 0.776
Sm7 Sm 0.750 0.200 0.276
Sm8 Sm 0.250 0.800 0.724
Sm9 Sm 0.250 0.446 0.379
Sm10 Sm 0.750 0.554 0.621
Sm11 Sm 0.750 0.946 0.121
Sm12 Sm 0.250 0.054 0.879
Ge1 Ge 0.250 0.688 0.488
Ge2 Ge 0.750 0.312 0.512
Ge3 Ge 0.750 0.188 0.012
Ge4 Ge 0.250 0.812 0.988
Ge5 Ge 0.250 0.998 0.311
Ge6 Ge 0.750 0.002 0.689
Ge7 Ge 0.750 0.498 0.189
Ge8 Ge 0.250 0.502 0.811
Rh1 Rh 0.250 0.130 0.131
Rh2 Rh 0.750 0.870 0.869
Rh3 Rh 0.750 0.630 0.369
Rh4 Rh 0.250 0.370 0.631
# Energy of formation in eV per atom: -0.8603


5.
# GGA-PBE SmGeRh, relaxed
data_SmGeRh
_cell_length_a 4.416
_cell_length_b 7.131
_cell_length_c 7.519
_cell_angle_alpha 90.00
_cell_angle_beta 90.00
_cell_angle_gamma 90.00
_space_group_name_H-M_alt 'P 1'
_space_group_IT_number 1
loop_
_space_group_symop_operation_xyz
'x,y,z'
loop_
_atom_site_label
_atom_site_type_symbol
_atom_site_fract_x
_atom_site_fract_y
_atom_site_fract_z
Ge1 Ge 0.250 0.796 0.103
Ge2 Ge 0.250 0.296 0.397
Ge3 Ge 0.750 0.204 0.897
Ge4 Ge 0.750 0.704 0.603
Rh1 Rh 0.250 0.655 0.429
Rh2 Rh 0.250 0.155 0.071
Rh3 Rh 0.750 0.845 0.929
Rh4 Rh 0.750 0.345 0.571
Sm1 Sm 0.750 0.507 0.192
Sm2 Sm 0.250 0.993 0.692
Sm3 Sm 0.750 0.007 0.308
Sm4 Sm 0.250 0.493 0.808
# Energy of formation in eV per atom: -0.9325


6.
# GGA-PBE Sm3Ge3Rh2, relaxed
data_Sm3Ge3Rh2
_cell_length_a 4.359
_cell_length_b 5.788
_cell_length_c 14.536
_cell_angle_alpha 90.00
_cell_angle_beta 90.00
_cell_angle_gamma 112.12
_space_group_name_H-M_alt 'P 1'
_space_group_IT_number 1
loop_
_space_group_symop_operation_xyz
'x,y,z'
loop_
_atom_site_label
_atom_site_type_symbol
_atom_site_fract_x
_atom_site_fract_y
_atom_site_fract_z
Sm1 Sm 0.915 0.830 0.390
Sm2 Sm 0.085 0.170 0.890
Sm3 Sm 0.915 0.830 0.110
Sm4 Sm 0.085 0.170 0.610
Sm5 Sm 0.640 0.281 0.250
Sm6 Sm 0.360 0.719 0.750
Ge1 Ge 0.622 0.245 0.464
Ge2 Ge 0.378 0.755 0.964
Ge3 Ge 0.622 0.245 0.036
Ge4 Ge 0.378 0.755 0.536
Ge5 Ge 0.340 0.679 0.250
Ge6 Ge 0.660 0.321 0.750
Rh1 Rh 0.798 0.597 0.900
Rh2 Rh 0.202 0.403 0.400
Rh3 Rh 0.798 0.597 0.600
Rh4 Rh 0.202 0.403 0.100
# Energy of formation in eV per atom: -0.9084
# ΔE to the lowest computed polymorph in eV per formula unit: 0.00


What are the N(E_F) values for these records? In order: 5.287; 6.562; 2.547; 11.445; 8.476; 9.819 states/eV per cell.
What are the uncorrected energy values for these records? In order: -56.4; -61.8; -23.6; -143.6; -77.9; -100.0 eV for the cell shown.